Entry 1:
Material: HoErN
Method: DFT, PBE
State: optimized geometry

a b c (Å): 5.954 5.954 5.954
angles (deg): 90.00 90.00 90.00
Space group F-43m (No. 216)
Symmetry-distinct sites (fractional):
Ho1 0.000 0.000 0.000 (multiplicity 4)
Er1 0.000 0.000 0.500 (multiplicity 4)
N1 0.250 0.250 0.250 (multiplicity 4)

For the polymorph energy (0 for the lowest one), the calculation gives 2.29 eV per formula unit. The value obtained for the density of states at the Fermi level is 7.94 states/eV per cell. Its total energy is -6.13 eV/atom. The calculation puts the spin magnetization at 0.000 μB/atom. The calculation puts the raw formation energy at -0.92 eV/f.u.

=====

Entry 2:
Material: HoEr5N6
Method: DFT, PBE
State: optimized geometry

a b c (Å): 5.943 10.295 5.943
angles (deg): 90.00 109.46 90.00
Space group C2/m (No. 12)
Symmetry-distinct sites (fractional):
Ho1 0.000 0.000 0.000 (multiplicity 2)
Er1 0.000 0.167 0.500 (multiplicity 4)
Er2 0.000 0.333 0.000 (multiplicity 4)
Er3 0.000 0.500 0.500 (multiplicity 2)
N1 0.249 0.333 0.750 (multiplicity 8)
N2 0.249 0.500 0.250 (multiplicity 4)

The value obtained for the density of states at the Fermi level is 0.58 states/eV per cell. Its total energy is -8.22 eV/atom. The calculation puts the spin magnetization at 0.000 μB/atom. The calculation puts the raw formation energy at -21.34 eV/f.u.

=====

Entry 3:
Material: HoErN2
Method: DFT, PBE
State: optimized geometry

a b c (Å): 3.3807 3.3807 17.5633
angles (deg): 90.00 90.00 120.00
Space group R3m (No. 160, hexagonal axes)
Symmetry-distinct sites (fractional):
Ho1 0.0000 0.0000 0.0000 (multiplicity 3)
Er1 0.0000 0.0000 0.1707 (multiplicity 3)
N1 0.0000 0.0000 0.5842 (multiplicity 3)
N2 0.0000 0.0000 0.7547 (multiplicity 3)

The value obtained for the density of states at the Fermi level is 0.09 states/eV per cell. Its total energy is -7.97 eV/atom. The calculation puts the spin magnetization at 0.000 μB/atom. The calculation puts the raw formation energy at -6.07 eV/f.u.

=====

Entry 4:
Material: HoErN
Method: DFT, PBE
State: optimized geometry

a b c (Å): 3.4652 3.4652 5.9087
angles (deg): 90.00 90.00 120.00
Space group P3m1 (No. 156)
Symmetry-distinct sites (fractional):
Ho1 0.0000 0.0000 0.0000 (multiplicity 1)
Er1 0.3333 0.6667 0.4501 (multiplicity 1)
N1 0.6667 0.3333 0.2278 (multiplicity 1)

For the polymorph energy (0 for the lowest one), the calculation gives 0.00 eV per formula unit. The value obtained for the density of states at the Fermi level is 2.61 states/eV per cell. Its total energy is -6.89 eV/atom. The calculation puts the spin magnetization at 0.215 μB/atom. The calculation puts the raw formation energy at -3.21 eV/f.u.

=====

Entry 5:
Material: HoEr3N
Method: DFT, PBE
State: optimized geometry

a b c (Å): 4.908 4.908 4.908
angles (deg): 90.00 90.00 90.00
Space group Pm-3m (No. 221)
Symmetry-distinct sites (fractional):
Ho1 0.000 0.000 0.000 (multiplicity 1)
Er1 0.000 0.500 0.500 (multiplicity 3)
N1 0.500 0.500 0.500 (multiplicity 1)

The value obtained for the density of states at the Fermi level is 6.73 states/eV per cell. Its total energy is -5.85 eV/atom. The calculation puts the spin magnetization at 0.001 μB/atom. The calculation puts the raw formation energy at -2.66 eV/f.u.

=====

Entry 6:
Material: Ho4ErN4
Method: DFT, PBE
State: optimized geometry

a b c (Å): 7.749 7.749 4.886
angles (deg): 90.00 90.00 90.00
Space group I4/m (No. 87)
Symmetry-distinct sites (fractional):
Ho1 0.109 0.689 0.000 (multiplicity 8)
Er1 0.000 0.000 0.500 (multiplicity 2)
N1 0.098 0.703 0.500 (multiplicity 8)

The value obtained for the density of states at the Fermi level is 5.06 states/eV per cell. Its total energy is -7.79 eV/atom. The calculation puts the spin magnetization at 0.000 μB/atom. The calculation puts the raw formation energy at -13.90 eV/f.u.

=====

- What is the formula in the first record?
  HoErN

=====

- Which value of spin magnetization does entry 2 give?
  0.000 μB/atom